No. 1
DFT (PBE-GGA) results for KSmCoSe3 after structural relaxation.

It has space group Cmcm (No. 63), with a = 4.138 Å, b = 14.774 Å, c = 11.042 Å, α = 90.00°, β = 90.00° and γ = 90.00°. The inequivalent atoms are K at (0.000, 0.246, 0.250), Sm at (0.000, 0.500, 0.000), Co at (0.000, 0.030, 0.750), Se at (0.000, 0.126, 0.576) and Se at (0.000, 0.435, 0.750).

The calculation puts the distance to the lowest polymorph of the same formula at 0.006 eV/atom. Its crystal system is orthorhombic. As for the total magnetic moment: 3.0 μB/f.u.


No. 2
DFT (PBE-GGA) results for HoCdInTe3 after structural relaxation.

It has space group Cmcm (No. 63), with a = 4.417 Å, b = 15.303 Å, c = 11.567 Å, α = 90.00°, β = 90.00° and γ = 90.00°. The inequivalent atoms are Ho at (0.000, 0.000, 0.000), Cd at (0.000, 0.464, 0.250), In at (0.000, 0.240, 0.750), Te at (0.000, 0.084, 0.250) and Te at (0.000, 0.361, 0.048).

The calculation puts the distance to the lowest polymorph of the same formula at 0.001 eV/atom. Its crystal system is orthorhombic. As for the total magnetic moment: 0.0 μB/f.u.


No. 3
DFT (PBE-GGA) results for LaAgHg after structural relaxation.

It has space group F-43m (No. 216), with a = 7.255 Å, b = 7.255 Å, c = 7.255 Å, α = 90.00°, β = 90.00° and γ = 90.00°. The inequivalent atoms are La at (0.000, 0.000, 0.000), Ag at (0.250, 0.250, 0.750) and Hg at (0.250, 0.250, 0.250).

Its crystal system is cubic. The value obtained for the energy of formation is -0.038 eV/atom. As for the total magnetic moment: 0.0 μB/f.u.


No. 4
DFT (PBE-GGA) results for LaGdBi2Te2 after structural relaxation.

It has space group P4mm (No. 99), with a = 4.460 Å, b = 4.460 Å, c = 9.536 Å, α = 90.00°, β = 90.00° and γ = 90.00°. The inequivalent atoms are La at (0.000, 0.000, 0.000), Gd at (0.500, 0.500, 0.429), Bi at (0.000, 0.500, 0.710), Te at (0.000, 0.000, 0.347) and Te at (0.500, 0.500, 0.092).

Its crystal system is tetragonal. As for the total magnetic moment: 0.0 μB/f.u.


No. 5
DFT (PBE-GGA) results for LiYGe2Pd after structural relaxation.

It has space group I-4m2 (No. 119), with a = 4.064 Å, b = 4.064 Å, c = 10.924 Å, α = 90.00°, β = 90.00° and γ = 90.00°. The inequivalent atoms are Li at (0.000, 0.000, 0.000), Y at (0.000, 0.500, 0.750), Ge at (0.000, 0.500, 0.138) and Pd at (0.000, 0.000, 0.500).

Its crystal system is tetragonal. As for the total magnetic moment: 0.0 μB/f.u.


No. 6
DFT (PBE-GGA) results for GaAg6F after structural relaxation.

It has space group R-3 (No. 148, hexagonal axes), with a = 7.5435 Å, b = 7.5435 Å, c = 8.5110 Å, α = 90.00°, β = 90.00° and γ = 120.00°. The inequivalent atoms are Ga at (0.0000, 0.0000, 0.0000), Ag at (0.0231, 0.2705, 0.2205) and F at (0.0000, 0.0000, 0.5000).

Its crystal system is trigonal.


No. 7
DFT (PBE-GGA) results for ZnCuSiMo after structural relaxation.

It has space group F-43m (No. 216), with a = 6.062 Å, b = 6.062 Å, c = 6.062 Å, α = 90.00°, β = 90.00° and γ = 90.00°. The inequivalent atoms are Zn at (0.000, 0.000, 0.000), Cu at (0.000, 0.000, 0.500), Si at (0.250, 0.250, 0.250) and Mo at (0.250, 0.250, 0.750).

The calculation puts the distance to the lowest polymorph of the same formula at 0.389 eV/atom. Its crystal system is cubic. As for the total magnetic moment: 0.9 μB/f.u.


No. 8
DFT (PBE-GGA) results for Zr2MoPt after structural relaxation.

It has space group F-43m (No. 216), with a = 6.617 Å, b = 6.617 Å, c = 6.617 Å, α = 90.00°, β = 90.00° and γ = 90.00°. The inequivalent atoms are Zr at (0.000, 0.000, 0.000), Zr at (0.250, 0.250, 0.250), Mo at (0.250, 0.250, 0.750) and Pt at (0.000, 0.000, 0.500).

Its crystal system is cubic. The value obtained for the energy of formation is -0.208 eV/atom. As for the total magnetic moment: 0.0 μB/f.u.


no.,energy (eV per cell)
1,-121.055
2,-88.524
3,-32.631
4,-30.657
5,-53.160
6,-67.956
7,-76.572
8,-139.319